(1)
Below is a geometry-optimized HClF2 structure, with properties calculated at the PBE level.

Unit cell a=3.7824 b=3.8930 c=4.8869 alpha=81.11 beta=76.16 gamma=80.09
Closest atoms and distances in Å follow each position.
Fractional positions:
1 H 0.0000 0.0000 0.0000  1 F 0.98
2 Cl 0.4949 0.9268 0.4993  1 F 1.73
3 F 0.1514 0.1663 0.8745  1 H 0.98
4 F 0.7663 0.7459 0.2035  1 H 1.52

---

(2)
Below is a geometry-optimized HCl2F structure, with properties calculated at the PBE level.

Unit cell a=6.6543 b=6.6543 c=6.6543 alpha=29.59 beta=29.59 gamma=29.59
Closest atoms and distances in Å follow each position.
Fractional positions:
1 H 0.0000 0.0000 0.0000  6 Cl 2.28
2 Cl 0.3941 0.3941 0.3941  1 F 2.02
3 Cl 0.6059 0.6059 0.6059  1 F 2.02
4 F 0.5000 0.5000 0.5000  2 Cl 2.02

---

no.,polymorph energy (0 for the lowest one) (eV/atom),total DFT energy (no corrections) (eV per atom)
1,0.064,-3.17
2,1.083,-1.86